(1)
SrSnN2O: relaxed, PBE.

## Properties
DOS(E_F): 4.35 states/eV per cell
Crystal system: tetragonal

Structure (POSCAR):
```
SrSnN2O
1.0
4.8099 0.0000 0.0000
0.0000 4.8099 0.0000
0.0000 0.0000 4.5933
Sr Sn N O
1 1 2 1
direct
0.0000 0.0000 0.0000 Sr
0.5000 0.5000 0.5000 Sn
0.0000 0.5000 0.0000 N
0.5000 0.0000 0.0000 N
0.0000 0.0000 0.5000 O
```



(2)
Sr2SnNO: relaxed, PBE.

## Properties
DOS(E_F): 1.93 states/eV per cell
Crystal system: tetragonal

Structure (POSCAR):
```
Sr2SnNO
1.0
5.0259 0.0000 0.0000
0.0000 5.0259 0.0000
0.0000 0.0000 4.5203
Sr Sn N O
2 1 1 1
direct
0.0000 0.5000 0.0000 Sr
0.5000 0.0000 0.0000 Sr
0.0000 0.0000 0.5000 Sn
0.5000 0.5000 0.5000 N
0.0000 0.0000 0.0000 O
```



(3)
TaSnN2O: relaxed, PBE.

## Properties
DOS(E_F): 2.89 states/eV per cell
Crystal system: tetragonal

Structure (POSCAR):
```
TaSnN2O
1.0
4.0776 0.0000 0.0000
0.0000 4.0776 0.0000
0.0000 0.0000 3.8918
Ta Sn N O
1 1 2 1
direct
0.0000 0.0000 0.0000 Ta
0.5000 0.5000 0.5000 Sn
0.0000 0.5000 0.5000 N
0.5000 0.0000 0.5000 N
0.5000 0.5000 0.0000 O
```



| no. | VASP energy (eV per atom) |
| --- | --- |
| 1 | -4.394 |
| 2 | -4.562 |
| 3 | -6.731 |